1.
A relaxed structure of Ca2YIr. Source: Alexandria via LeMat-Bulk, functional PBE-GGA.

## Properties
Mass density: 6.0 g/cm³
N(E_F): 4.681 states/eV/cell
Space-group type: P4/mmm
Crystal system: tetragonal
Offset from the most stable computed form: 98 kJ/mol of formula units
Volume: 100.2 Å³/f.u.
E_form: -0.3 eV per formula unit
E: -4.8968 eV per atom

a = 4.359 Å, b = 4.359 Å, c = 5.270 Å
α = 90.00°, β = 90.00°, γ = 90.00°
Fractional coordinates of all 4 atoms:
1 Ca 0.000 0.500 0.000
2 Ca 0.500 0.000 0.000
3 Y 0.000 0.000 0.500
4 Ir 0.500 0.500 0.500

=====

2.
A relaxed structure of ReAsSe2. Source: Alexandria via LeMat-Bulk, functional PBE-GGA.

## Properties
Mass density: 7.2 g/cm³
N(E_F): 3.468 states/eV/cell
Space-group type: I-42d
Crystal system: tetragonal
Uncorrected formation energy: 0.58 eV/atom
Volume: 96.9 Å³/f.u.
E: -5.4378 eV per atom

a = 6.559 Å, b = 6.559 Å, c = 6.559 Å
α = 121.77°, β = 121.77°, γ = 86.96°
Fractional coordinates of all 8 atoms:
1 Re 0.000 0.000 0.000
2 Re 0.750 0.250 0.500
3 As 0.250 0.750 0.500
4 As 0.500 0.500 0.000
5 Se 0.083 0.625 0.958
6 Se 0.375 0.333 0.458
7 Se 0.667 0.125 0.042
8 Se 0.875 0.917 0.542

=====

3.
A relaxed structure of SmThTlIn. Source: Alexandria via LeMat-Bulk, functional PBE-GGA.

## Properties
Mass density: 10.0 g/cm³
N(E_F): 3.524 states/eV/cell
Space-group type: F-43m
Crystal system: cubic
Offset from the most stable computed form: 23 kJ/mol of formula units
Volume: 116.5 Å³/f.u.
E_form: -1.0 eV per formula unit
E: -4.5694 eV per atom

a = 5.482 Å, b = 5.482 Å, c = 5.482 Å
α = 60.00°, β = 60.00°, γ = 60.00°
Fractional coordinates of all 4 atoms:
1 Sm 0.000 0.000 0.000
2 Th 0.500 0.500 0.500
3 Tl 0.750 0.750 0.750
4 In 0.250 0.250 0.250

=====

4.
A relaxed structure of In5Br4Cl. Source: Alexandria via LeMat-Bulk, functional PBE-GGA.

## Properties
Mass density: 4.2 g/cm³
Space-group type: R-3m
Crystal system: trigonal
Uncorrected formation energy: -0.67 eV/atom
Volume: 364.6 Å³/f.u.
E: -2.8969 eV per atom

a = 19.287 Å, b = 19.287 Å, c = 19.287 Å
α = 13.98°, β = 13.98°, γ = 13.98°
Fractional coordinates of all 10 atoms:
1 In 0.000 0.000 0.000
2 In 0.197 0.197 0.197
3 In 0.401 0.401 0.401
4 In 0.599 0.599 0.599
5 In 0.803 0.803 0.803
6 Br 0.102 0.102 0.102
7 Br 0.299 0.299 0.299
8 Br 0.701 0.701 0.701
9 Br 0.898 0.898 0.898
10 Cl 0.500 0.500 0.500

=====

5.
A relaxed structure of ScBeAlPt. Source: Alexandria via LeMat-Bulk, functional PBE-GGA.

## Properties
Mass density: 7.6 g/cm³
N(E_F): 2.150 states/eV/cell
Space-group type: F-43m
Crystal system: cubic
Volume: 60.1 Å³/f.u.
E_form: -2.7 eV per formula unit
E: -5.6464 eV per atom

a = 4.398 Å, b = 4.398 Å, c = 4.398 Å
α = 60.00°, β = 60.00°, γ = 60.00°
Fractional coordinates of all 4 atoms:
1 Sc 0.000 0.000 0.000
2 Be 0.250 0.250 0.250
3 Al 0.500 0.500 0.500
4 Pt 0.750 0.750 0.750

=====

6.
A relaxed structure of MoAs2CBr. Source: Alexandria via LeMat-Bulk, functional PBE-GGA.

## Properties
Mass density: 4.6 g/cm³
N(E_F): 5.056 states/eV/cell
Space-group type: P4/mmm
Crystal system: tetragonal
Uncorrected formation energy: 1.66 eV/atom
Offset from the most stable computed form: 116 kJ/mol of formula units
Volume: 122.6 Å³/f.u.
E: -4.5495 eV per atom

a = 4.833 Å, b = 4.833 Å, c = 5.249 Å
α = 90.00°, β = 90.00°, γ = 90.00°
Fractional coordinates of all 5 atoms:
1 Mo 0.000 0.000 0.000
2 As 0.000 0.500 0.000
3 As 0.500 0.000 0.000
4 C 0.500 0.500 0.500
5 Br 0.000 0.000 0.500